GaSi2NiF (PBE with a Hubbard U, optimized geometry); E = -3.452 eV/atom; SG = No. 123; crystal system = tetragonal
1.0
4.199 0.000 0.000
0.000 4.199 0.000
0.000 0.000 4.960
Ga Si Ni F
1 2 1 1
Cartesian
0.000 0.000 0.000 Ga
0.000 2.100 2.480 Si
2.100 0.000 2.480 Si
2.100 2.100 2.480 Ni
2.100 2.100 0.000 F